Record 1
Here is a relaxed YCoB5O10 crystal from Alexandria. Energies are from GGA+U. Values from VASP.

The structure in Quantum ESPRESSO input format:
```
&SYSTEM
  ibrav = 0, nat = 68, ntyp = 4
/
ATOMIC_SPECIES
Y 88.91 Y.upf
Co 58.93 Co.upf
B 10.81 B.upf
O 16.00 O.upf
ATOMIC_POSITIONS angstrom
Y -1.4544 1.4172 2.2824
Y -5.4815 2.4142 6.9942
Y 6.0691 5.2486 2.4295
Y 2.0421 6.2456 7.1413
Co -2.9299 4.5718 8.2045
Co 1.0971 6.9224 3.4927
Co -0.5095 0.7404 5.9310
Co 3.5176 3.0910 1.2192
B -4.1151 5.1725 5.6791
B -0.0880 6.3217 0.9672
B -6.6729 4.6130 9.3385
B -2.6458 6.8812 4.6267
B 1.9513 0.2453 0.5358
B -2.0757 3.5861 5.2476
B 0.8814 4.3949 2.3872
B -3.1456 7.0992 7.0990
B -3.2099 1.4344 8.5850
B 0.8172 2.3969 3.8732
B -0.2295 5.2658 5.5505
B 3.7975 6.2283 0.8387
B 3.7333 0.5636 2.3246
B -0.2938 3.2678 7.0365
B 2.6634 4.0767 4.1761
B -1.3637 7.4175 8.8879
B 3.2335 0.7816 4.7970
B 7.2605 3.0498 0.0852
B 0.6757 1.3411 8.4564
B 4.7027 2.4903 3.7446
O -7.6488 5.6056 9.2092
O -3.6218 5.8885 4.4973
O -6.5890 0.8418 8.6804
O -2.5619 2.9896 3.9685
O -6.0338 4.2498 8.2045
O -2.0067 7.2444 3.4927
O -0.1756 5.4019 2.1347
O -4.2027 6.0922 6.8466
O -3.2107 4.0588 6.1142
O 0.8164 7.4353 1.4024
O 1.6664 4.0795 1.1478
O -2.3606 7.4146 5.8597
O -3.7411 0.7040 7.5433
O 0.2860 3.1274 2.8315
O -1.2673 4.7821 4.8021
O 2.7597 6.7120 0.0902
O 0.1959 1.1713 4.0411
O -3.8312 2.6601 8.7529
O 2.8175 1.1359 1.3206
O -1.2096 2.6955 6.0324
O 1.7972 4.9673 3.3913
O -2.2298 6.5268 8.1031
O 4.4188 5.0027 0.6708
O 0.3918 6.4915 5.3826
O -2.1721 0.9508 9.3334
O 1.8550 2.8806 4.6216
O 0.3017 4.5354 6.5922
O 4.3288 6.9587 1.8804
O 2.9483 0.2482 3.5640
O -1.0788 3.5832 8.2758
O -0.2287 0.2275 8.0213
O 3.7983 3.6039 3.3094
O 4.7903 1.5705 2.5771
O 0.7633 2.2609 7.2890
O 2.5944 0.4184 5.9310
O 6.6214 3.4130 1.2192
O 3.1496 4.6731 5.4551
O 7.1766 6.8210 0.7433
O 4.2094 1.7743 4.9263
O 8.2365 2.0571 0.2145
CELL_PARAMETERS angstrom
8.6418 0.0000 0.0000
0.0000 7.6628 0.0000
-8.0541 0.0000 9.4237
```

Density: 3.85 g cm⁻³
VASP energy: -546.2 eV per cell

***

Record 2
Here is a relaxed ZnCo2BO crystal from Alexandria. Energies are from GGA+U. Values from VASP.

The structure in Quantum ESPRESSO input format:
```
&SYSTEM
  ibrav = 0, nat = 5, ntyp = 4
/
ATOMIC_SPECIES
Zn 65.41 Zn.upf
Co 58.93 Co.upf
B 10.81 B.upf
O 16.00 O.upf
ATOMIC_POSITIONS angstrom
Zn 0.0000 0.0000 0.0000
Co 0.0000 2.3486 0.0000
Co 2.3486 0.0000 0.0000
B 2.3486 2.3486 1.7756
O 0.0000 0.0000 1.7756
CELL_PARAMETERS angstrom
4.6973 0.0000 0.0000
0.0000 4.6973 0.0000
0.0000 0.0000 3.5513
```

Density: 4.45 g cm⁻³
VASP energy: -16.5 eV per cell